1.
Computed, not measured: CaAc2Gd after structural relaxation at the PBE level of DFT.

Values from the calculation:
calculated formation energy = 1.70 kcal/mol of atoms

abc: 8.668 8.668 8.668
angles: 90.00 90.00 90.00
Space group Fm-3m (No. 225)
Inequivalent atoms, fractional coordinates:
Ca  0.000  0.000  0.000
Ac  0.250  0.250  0.250
Gd  0.000  0.000  0.500

=====

2.
Computed, not measured: TaPt2 after structural relaxation at the PBE level of DFT.

Values from the calculation:
calculated formation energy = -5.25 kcal/mol of atoms

abc: 6.085 6.085 5.762
angles: 90.00 90.00 90.00
Space group I4/mcm (No. 140)
Inequivalent atoms, fractional coordinates:
Ta  0.000  0.000  0.250
Pt  0.147  0.353  0.000

=====

3.
Computed, not measured: TmLuPu2 after structural relaxation at the PBE level of DFT.

Values from the calculation:
calculated formation energy = 3.59 kcal/mol of atoms

abc: 3.3858 3.3858 33.8835
angles: 90.00 90.00 120.00
Space group R-3m (No. 166, hexagonal axes)
Inequivalent atoms, fractional coordinates:
Tm  0.0000  0.0000  0.0000
Lu  0.0000  0.0000  0.5000
Pu  0.0000  0.0000  0.2497

=====

4.
Computed, not measured: HgIr2Ru after structural relaxation at the PBE level of DFT.

Values from the calculation:
calculated formation energy = 15.94 kcal/mol of atoms

abc: 4.773 4.773 2.836
angles: 90.00 90.00 90.00
Space group P4/mmm (No. 123)
Inequivalent atoms, fractional coordinates:
Hg  0.000  0.000  0.000
Ir  0.000  0.500  0.500
Ru  0.500  0.500  0.000

=====

5.
Computed, not measured: TbNdPtI after structural relaxation at the PBE level of DFT.

Values from the calculation:
formation energy (no corrections) = -1.113 eV per atom

abc: 4.2146 4.2146 24.1617
angles: 90.00 90.00 120.00
Space group R3m (No. 160, hexagonal axes)
Inequivalent atoms, fractional coordinates:
Tb  0.0000  0.0000  0.0000
Nd  0.0000  0.0000  0.7898
Pt  0.0000  0.0000  0.3920
I  0.0000  0.0000  0.5645

=====

6.
Computed, not measured: Rb2AsHI6 after structural relaxation at the PBE level of DFT.

Values from the calculation:
total DFT energy (no corrections) = -0.176 Ry/atom

abc: 7.678 7.678 13.003
angles: 90.00 90.00 90.00
Space group I4/mmm (No. 139)
Inequivalent atoms, fractional coordinates:
Rb  0.000  0.500  0.250
As  0.000  0.000  0.000
H  0.000  0.000  0.500
I  0.000  0.000  0.223
I  0.235  0.235  0.500

=====

7.
Computed, not measured: KAgNF2 after structural relaxation at the PBE level of DFT.

Values from the calculation:
formation energy (no corrections) = -0.639 eV per atom

abc: 4.651 4.651 4.070
angles: 90.00 90.00 90.00
Space group P4/mmm (No. 123)
Inequivalent atoms, fractional coordinates:
K  0.000  0.000  0.000
Ag  0.500  0.500  0.500
N  0.500  0.500  0.000
F  0.000  0.500  0.500

=====

8.
Computed, not measured: Tb3Er5Tl after structural relaxation at the PBE level of DFT.

Values from the calculation:
calculated formation energy = 9.11 kcal/mol of atoms

abc: 11.974 11.243 10.140
angles: 90.00 109.08 90.00
Space group C2/m (No. 12)
Inequivalent atoms, fractional coordinates:
Tb  0.000  0.000  0.000
Tb  0.000  0.000  0.312
Tb  0.000  0.500  0.500
Tb  0.003  0.500  0.172
Er  0.000  0.230  0.500
Er  0.187  0.241  0.297
Er  0.236  0.000  0.557
Er  0.249  0.500  0.093
Tl  0.234  0.500  0.772

=====

9.
Computed, not measured: HoFeSi3Rh after structural relaxation at the PBE level of DFT.

Values from the calculation:
formation energy (no corrections) = -0.416 eV per atom

abc: 7.208 11.164 5.343
angles: 90.00 90.00 90.00
Space group Cmcm (No. 63)
Inequivalent atoms, fractional coordinates:
Ho  0.000  0.222  0.250
Fe  0.000  0.045  0.750
Si  0.000  0.232  0.750
Si  0.245  0.000  0.000
Rh  0.000  0.428  0.750

=====

10.
Computed, not measured: TlCN2 after structural relaxation at the PBE level of DFT.

Values from the calculation:
formation energy (no corrections) = 0.375 eV per atom

abc: 3.9940 3.9940 15.1637
angles: 90.00 90.00 120.00
Space group R-3m (No. 166, hexagonal axes)
Inequivalent atoms, fractional coordinates:
Tl  0.0000  0.0000  0.0000
C  0.0000  0.0000  0.5000
N  0.0000  0.0000  0.4182

=====

11.
Computed, not measured: NaAu3I after structural relaxation at the PBE level of DFT.

Values from the calculation:
formation energy (no corrections) = 0.785 eV per atom

abc: 5.128 5.128 5.128
angles: 90.00 90.00 90.00
Space group Pm-3m (No. 221)
Inequivalent atoms, fractional coordinates:
Na  0.000  0.000  0.000
Au  0.000  0.000  0.500
I  0.500  0.500  0.500

=====

12.
Computed, not measured: LiLaBe2 after structural relaxation at the PBE level of DFT.

Values from the calculation:
calculated formation energy = 8.41 kcal/mol of atoms

abc: 3.202 3.202 6.725
angles: 90.00 90.00 90.00
Space group P4/mmm (No. 123)
Inequivalent atoms, fractional coordinates:
Li  0.000  0.000  0.000
La  0.000  0.000  0.500
Be  0.500  0.500  0.173

=====

13.
Computed, not measured: Tb3CeCo after structural relaxation at the PBE level of DFT.

Values from the calculation:
calculated formation energy = 1.67 kcal/mol of atoms

abc: 5.303 5.303 5.303
angles: 90.00 90.00 90.00
Space group Pm-3m (No. 221)
Inequivalent atoms, fractional coordinates:
Tb  0.000  0.000  0.500
Ce  0.500  0.500  0.500
Co  0.000  0.000  0.000

=====

14.
Computed, not measured: LiPaRu2O8 after structural relaxation at the PBE level of DFT.

Values from the calculation:
formation energy (no corrections) = -1.585 eV per atom

abc: 5.048 5.048 9.872
angles: 90.00 90.00 90.00
Space group I-4m2 (No. 119)
Inequivalent atoms, fractional coordinates:
Li  0.000  0.000  0.000
Pa  0.000  0.500  0.250
Ru  0.000  0.000  0.500
Ru  0.000  0.500  0.750
O  0.228  0.252  0.624

=====

15.
Computed, not measured: AlSbPd3 after structural relaxation at the PBE level of DFT.

Values from the calculation:
formation energy (no corrections) = -0.036 eV per atom

abc: 4.615 4.615 4.615
angles: 90.00 90.00 90.00
Space group Pm-3m (No. 221)
Inequivalent atoms, fractional coordinates:
Al  0.000  0.000  0.000
Sb  0.500  0.500  0.500
Pd  0.000  0.000  0.500

=====

16.
Computed, not measured: LiAl2H after structural relaxation at the PBE level of DFT.

Values from the calculation:
total DFT energy (no corrections) = -0.200 Ry/atom

abc: 5.996 5.996 5.996
angles: 90.00 90.00 90.00
Space group Fm-3m (No. 225)
Inequivalent atoms, fractional coordinates:
Li  0.000  0.000  0.000
Al  0.250  0.250  0.250
H  0.000  0.000  0.500

=====

17.
Computed, not measured: LaCrPOs2 after structural relaxation at the PBE level of DFT.

Values from the calculation:
calculated formation energy = 3.69 kcal/mol of atoms

abc: 4.521 4.521 4.440
angles: 90.00 90.00 90.00
Space group P4/mmm (No. 123)
Inequivalent atoms, fractional coordinates:
La  0.000  0.000  0.000
Cr  0.500  0.500  0.000
P  0.500  0.500  0.500
Os  0.000  0.500  0.500

=====

18.
Computed, not measured: AgGePCl2 after structural relaxation at the PBE level of DFT.

Values from the calculation:
formation energy (no corrections) = 0.246 eV per atom

abc: 4.953 4.953 5.003
angles: 90.00 90.00 90.00
Space group P4/mmm (No. 123)
Inequivalent atoms, fractional coordinates:
Ag  0.000  0.000  0.000
Ge  0.500  0.500  0.500
P  0.500  0.500  0.000
Cl  0.000  0.500  0.500

=====

19.
Computed, not measured: ThMgCd17 after structural relaxation at the PBE level of DFT.

Values from the calculation:
calculated formation energy = -0.45 kcal/mol of atoms

abc: 10.0791 10.0791 15.2402
angles: 90.00 90.00 120.00
Space group R3m (No. 160, hexagonal axes)
Inequivalent atoms, fractional coordinates:
Th  0.0000  0.0000  0.0000
Mg  0.0000  0.0000  0.7475
Cd  0.0000  0.0000  0.2286
Cd  0.0000  0.0000  0.4252
Cd  0.0059  0.3097  0.3317
Cd  0.1715  0.3429  0.8135
Cd  0.1737  0.3475  0.1647
Cd  0.1803  0.3606  0.5181

=====

20.
Computed, not measured: EuScCuSi after structural relaxation at the PBE level of DFT.

Values from the calculation:
formation energy (no corrections) = -0.314 eV per atom

abc: 6.902 6.902 6.902
angles: 90.00 90.00 90.00
Space group F-43m (No. 216)
Inequivalent atoms, fractional coordinates:
Eu  0.000  0.000  0.000
Sc  0.000  0.000  0.500
Cu  0.250  0.250  0.750
Si  0.250  0.250  0.250

=====

no.,density of states at the Fermi level (states/eV/cell)
1,30.40
2,11.05
3,48.69
4,6.33
5,9.66
6,4.90
7,1.35
8,56.87
9,10.37
10,3.13
11,5.98
12,2.69
13,11.97
14,12.13
15,2.11
16,6.23
17,3.83
18,2.46
19,15.38
20,15.87